! PBE-GGA TbNbRuRh, relaxed; values from VASP
&SYSTEM
  ibrav = 0, nat = 4, ntyp = 4
/
ATOMIC_SPECIES
Nb 92.91 Nb.upf
Ru 101.07 Ru.upf
Rh 102.91 Rh.upf
Tb 158.93 Tb.upf
CELL_PARAMETERS angstrom
-0.409 -1.023 4.532
1.424 -4.146 1.592
3.807 -0.287 2.679
ATOMIC_POSITIONS angstrom
Nb 0.000 0.000 0.000
Ru 3.616 -4.092 6.602
Rh 1.205 -1.364 2.201
Tb 2.411 -2.728 4.401
! **Formation enthalpy at 0 K**: -131.7 kJ/mol of formula units
! **Crystal system**: cubic
! **Size of the total moment**: 0.00 μB/f.u.


! PBE-GGA AcNdHoTm, relaxed; values from VASP
&SYSTEM
  ibrav = 0, nat = 4, ntyp = 4
/
ATOMIC_SPECIES
Ac 227.00 Ac.upf
Tm 168.93 Tm.upf
Ho 164.93 Ho.upf
Nd 144.24 Nd.upf
CELL_PARAMETERS angstrom
-3.745 -4.162 -1.689
1.892 -5.469 -0.843
-1.541 -4.235 3.727
ATOMIC_POSITIONS angstrom
Ac -2.545 -10.399 0.896
Tm -1.697 -6.933 0.597
Ho 0.000 0.000 0.000
Nd -0.848 -3.466 0.299
! **Energy relative to the lowest polymorph listed for this composition**: 0.036 eV per atom
! **Formation enthalpy at 0 K**: 40.7 kJ/mol of formula units
! **Crystal system**: cubic
! **Size of the total moment**: 0.00 μB/f.u.


! PBE-GGA IrSe2F, relaxed; values from VASP
&SYSTEM
  ibrav = 0, nat = 8, ntyp = 3
/
ATOMIC_SPECIES
Se 78.96 Se.upf
F 19.00 F.upf
Ir 192.22 Ir.upf
CELL_PARAMETERS angstrom
3.783 0.000 0.000
0.872 5.972 0.000
0.800 0.592 6.896
ATOMIC_POSITIONS angstrom
Se 3.394 0.730 6.378
Se 1.890 3.728 6.756
Se 1.492 1.703 3.873
Se 4.216 4.732 3.649
F 0.437 1.220 2.331
F 2.256 3.734 1.297
Ir 2.357 5.501 5.117
Ir 3.518 2.968 5.146
! **Crystal system**: triclinic
! **Formation energy (no corrections)**: -0.635 eV per atom
! **Size of the total moment**: 0.00 μB/f.u.


size of the total moment of number 3 (IrSe2F)?
0.00 μB/f.u.